Record 1
Rb2In2Sb2Se | PBE-GGA | optimized geometry

a = 7.2403 Å, b = 7.2403 Å, c = 8.6760 Å
α = 106.52°, β = 106.52°, γ = 34.24°
With the nearest neighbours (Å) after each atom.
Positions (direct):
Rb (0.0011, 0.0011, 0.2110)  2 Se 3.29, 1 Rb 3.65
Rb (0.9989, 0.9989, 0.7890)  2 Se 3.29, 1 Rb 3.65
In (0.2926, 0.2926, 0.3835)  1 Se 2.74
In (0.7074, 0.7074, 0.6165)  1 Se 2.74
Sb (0.2822, 0.2822, 0.9025)  2 Sb 3.02, 2 In 3.20
Sb (0.7178, 0.7178, 0.0975)  2 Sb 3.02, 2 In 3.20
Se (0.5000, 0.5000, 0.5000)  2 In 2.74

Properties
**Uncorrected formation energy**: -0.4074 eV per atom
**Magnetic moment**: 0.00 μB per atom
**Symmetry**: No. 12

=====

Record 2
Rb2In4Sn3Sb | PBE-GGA | optimized geometry

a = 5.3206 Å, b = 5.3206 Å, c = 11.7632 Å
α = 90.00°, β = 90.00°, γ = 90.00°
With the nearest neighbours (Å) after each atom.
Positions (direct):
Rb (0.0000, 0.5000, 0.2473)  6 Sn 3.94-4.04, 2 Sb 3.94, 9 In 3.99-4.39
Rb (0.5000, 0.0000, 0.7527)  6 Sn 3.94-4.04, 2 Sb 3.94, 9 In 3.99-4.39
In (0.0000, 0.0000, 0.5000)  4 Sn 3.05
In (0.0000, 0.5000, 0.8745)  3 Sn 2.92-3.04, 2 Sb 3.04
In (0.5000, 0.0000, 0.1255)  3 Sn 2.92-3.04, 2 Sb 3.04
In (0.5000, 0.5000, 0.5000)  4 Sn 3.05
Sn (0.0000, 0.0000, 0.0000)  4 In 3.04
Sn (0.0000, 0.5000, 0.6266)  5 In 2.92-3.05
Sn (0.5000, 0.0000, 0.3734)  5 In 2.92-3.05
Sb (0.5000, 0.5000, 0.0000)  4 In 3.04

Properties
**Uncorrected formation energy**: -0.1659 eV per atom
**Magnetic moment**: 0.00 μB per atom
**Symmetry**: No. 115

=====

Record 3
Rb3In2Sn2Sb4 | PBE-GGA | optimized geometry

a = 5.2464 Å, b = 5.2464 Å, c = 18.8125 Å
α = 90.00°, β = 90.00°, γ = 120.00°
With the nearest neighbours (Å) after each atom.
Positions (direct):
Rb (0.0000, 0.0000, 0.0000)  6 Sb 4.04, 6 In 4.06
Rb (0.0000, 0.0000, 0.2829)  6 Sb 3.81-4.03, 3 In 4.00, 3 Sn 4.21
Rb (0.0000, 0.0000, 0.7171)  6 Sb 3.81-4.03, 3 In 4.00, 3 Sn 4.21
In (0.3333, 0.6667, 0.1440)  3 Sb 3.03
In (0.6667, 0.3333, 0.8560)  3 Sb 3.03
Sn (0.3333, 0.6667, 0.5616)  4 Sb 2.94-3.09
Sn (0.6667, 0.3333, 0.4384)  4 Sb 2.94-3.09
Sb (0.3333, 0.6667, 0.4054)  4 Sn 2.94-3.09
Sb (0.3333, 0.6667, 0.8582)  3 In 3.03
Sb (0.6667, 0.3333, 0.1418)  3 In 3.03
Sb (0.6667, 0.3333, 0.5946)  4 Sn 2.94-3.09

Properties
**Uncorrected formation energy**: -0.1959 eV per atom
**Magnetic moment**: 0.00 μB per atom
**Symmetry**: No. 164

=====

Record 4
RbInSnSb2 | PBE-GGA | optimized geometry

a = 9.7964 Å, b = 9.7964 Å, c = 12.8359 Å
α = 130.44°, β = 130.44°, γ = 27.33°
With the nearest neighbours (Å) after each atom.
Positions (direct):
Rb (0.1817, 0.1817, 0.0924)  5 Sb 3.71-3.91
Rb (0.8183, 0.8183, 0.9076)  5 Sb 3.71-3.91
In (0.0653, 0.0653, 0.6505)  1 In 2.88, 3 Sb 2.89-3.03
In (0.9347, 0.9347, 0.3495)  1 In 2.88, 3 Sb 2.89-3.03
Sn (0.3596, 0.3596, 0.5827)  4 Sb 2.96-3.19
Sn (0.6404, 0.6404, 0.4173)  4 Sb 2.96-3.19
Sb (0.2029, 0.2029, 0.6063)  3 Sn 2.97-3.19, 1 In 3.03
Sb (0.4315, 0.4315, 0.2111)  2 In 2.89, 1 Sn 2.96
Sb (0.5685, 0.5685, 0.7889)  2 In 2.89, 1 Sn 2.96
Sb (0.7971, 0.7971, 0.3937)  3 Sn 2.97-3.19, 1 In 3.03

Properties
**Uncorrected formation energy**: -0.1782 eV per atom
**Magnetic moment**: 0.00 μB per atom
**Symmetry**: No. 12

=====

Record 5
RbSrIn2Sb | PBE-GGA | optimized geometry

a = 5.8968 Å, b = 5.8968 Å, c = 6.5565 Å
α = 90.00°, β = 90.00°, γ = 90.00°
With the nearest neighbours (Å) after each atom.
Positions (direct):
Rb (0.0000, 0.0000, 0.0000)  2 Sb 3.28
Sr (0.5000, 0.5000, 0.0000)  4 Rb 4.17, 8 In 4.41
In (0.0000, 0.5000, 0.5000)  2 Sb 2.95
In (0.5000, 0.0000, 0.5000)  2 Sb 2.95
Sb (0.0000, 0.0000, 0.5000)  4 In 2.95, 2 Rb 3.28

Properties
**Uncorrected formation energy**: 0.1869 eV per atom
**Magnetic moment**: 0.00 μB per atom
**Symmetry**: No. 123

=====

Record 6
RbInTc2Sb | PBE-GGA | optimized geometry

a = 5.5442 Å, b = 5.5442 Å, c = 5.5477 Å
α = 90.00°, β = 90.00°, γ = 90.00°
With the nearest neighbours (Å) after each atom.
Positions (direct):
Rb (0.0000, 0.0000, 0.0000)  4 Sb 3.92, 8 Tc 3.92
In (0.5000, 0.5000, 0.5000)  4 Tc 2.77, 2 Sb 2.77
Tc (0.0000, 0.5000, 0.5000)  2 In 2.77
Tc (0.5000, 0.0000, 0.5000)  2 In 2.77
Sb (0.5000, 0.5000, 0.0000)  2 In 2.77

Properties
**Uncorrected formation energy**: 1.5644 eV per atom
**Magnetic moment**: 1.42 μB per atom
**Symmetry**: No. 123